A | La2TlZnIr: optimized geometry, GGA-PBE.

Lattice parameters (Å, degrees): 5.523 5.523 4.925 90.00 90.00 90.00
Atoms (fractional coordinates):
1 La 0.000 0.500 0.000
2 La 0.500 0.000 0.000
3 Tl 0.000 0.000 0.500
4 Zn 0.500 0.500 0.500
5 Ir 0.500 0.500 0.000

Calculated values
For the density of states at the Fermi level, the calculation gives 4.0 states/eV/f.u. The magnetic moment comes out at 0.0000 μB per atom. As for the mass density: 8.2 g cm⁻³.

B | La2TlZnIr: optimized geometry, GGA-PBE.

Lattice parameters (Å, degrees): 7.521 4.539 8.124 90.00 108.35 90.00
Atoms (fractional coordinates):
1 La 0.137 0.250 0.335
2 La 0.277 0.250 0.953
3 La 0.723 0.750 0.047
4 La 0.863 0.750 0.665
5 Tl 0.322 0.750 0.653
6 Tl 0.678 0.250 0.347
7 Zn 0.447 0.750 0.325
8 Zn 0.553 0.250 0.675
9 Ir 0.124 0.750 0.091
10 Ir 0.876 0.250 0.909

Calculated values
For the density of states at the Fermi level, the calculation gives 3.2 states/eV/f.u. The magnetic moment comes out at 0.0000 μB per atom. As for the mass density: 9.3 g cm⁻³.

Which of them is least stable? Easy: A.

A | LaTmIr: optimized geometry, GGA-PBE.

Lattice parameters (Å, degrees): 6.535 7.078 10.058 90.00 128.60 90.00
Atoms (fractional coordinates):
1 La 0.149 0.082 0.386
2 La 0.149 0.418 0.886
3 La 0.851 0.582 0.114
4 La 0.851 0.918 0.614
5 Tm 0.375 0.578 0.613
6 Tm 0.375 0.922 0.113
7 Tm 0.625 0.078 0.887
8 Tm 0.625 0.422 0.387
9 Ir 0.360 0.744 0.355
10 Ir 0.360 0.756 0.855
11 Ir 0.640 0.244 0.145
12 Ir 0.640 0.256 0.645

Calculated values
For the density of states at the Fermi level, the calculation gives 1.8 states/eV/f.u. The magnetic moment comes out at 0.0000 μB per atom. As for the mass density: 9.1 g cm⁻³.

B | LaTmIr: optimized geometry, GGA-PBE.

Lattice parameters (Å, degrees): 4.798 4.770 7.122 90.00 101.29 90.00
Atoms (fractional coordinates):
1 La 0.235 0.250 0.399
2 La 0.765 0.750 0.601
3 Tm 0.268 0.750 0.011
4 Tm 0.732 0.250 0.989
5 Ir 0.150 0.250 0.775
6 Ir 0.850 0.750 0.225

Calculated values
For the density of states at the Fermi level, the calculation gives 2.1 states/eV/f.u. The magnetic moment comes out at 0.0000 μB per atom. As for the mass density: 10.4 g cm⁻³.

C | LaTmIr: optimized geometry, GGA-PBE.

Lattice parameters (Å, degrees): 4.175 4.175 6.270 90.00 90.00 120.00
Atoms (fractional coordinates):
1 La 0.000 0.000 0.000
2 Tm 0.667 0.333 0.456
3 Ir 0.333 0.667 0.244

Calculated values
For the density of states at the Fermi level, the calculation gives 2.2 states/eV/f.u. The magnetic moment comes out at 0.0000 μB per atom. As for the mass density: 8.8 g cm⁻³.

Which of them is least stable? Easy: C.

A | LaTmIr: optimized geometry, GGA-PBE.

Lattice parameters (Å, degrees): 4.901 4.904 6.854 89.90 89.90 89.98
Atoms (fractional coordinates):
1 La 0.014 0.485 0.250
2 La 0.986 0.515 0.750
3 Tm 0.490 0.011 0.750
4 Tm 0.510 0.989 0.250
5 Ir 0.000 0.000 0.500
6 Ir 0.500 0.500 0.000

Calculated values
For the density of states at the Fermi level, the calculation gives 2.6 states/eV/f.u. The magnetic moment comes out at 0.0000 μB per atom. As for the mass density: 10.1 g cm⁻³.

B | LaTmIr: optimized geometry, GGA-PBE.

Lattice parameters (Å, degrees): 4.895 4.895 4.895 60.00 60.00 60.00
Atoms (fractional coordinates):
1 La 0.000 0.000 0.000
2 Tm 0.500 0.500 0.500
3 Ir 0.250 0.250 0.250

Calculated values
For the density of states at the Fermi level, the calculation gives 3.4 states/eV/f.u. The magnetic moment comes out at 0.0000 μB per atom. As for the mass density: 10.0 g cm⁻³.

Which of them is least stable? Easy: B.

A | La2V2Ir: optimized geometry, GGA-PBE.

Lattice parameters (Å, degrees): 7.345 7.345 7.345 148.34 148.34 45.38
Atoms (fractional coordinates):
1 La 0.250 0.750 0.500
2 La 0.750 0.250 0.500
3 V 0.068 0.068 0.000
4 V 0.932 0.932 0.000
5 Ir 0.500 0.500 0.000

Calculated values
For the density of states at the Fermi level, the calculation gives 7.8 states/eV/f.u. The magnetic moment comes out at 0.0000 μB per atom. As for the mass density: 8.7 g cm⁻³.

B | La2V2Ir: optimized geometry, GGA-PBE.

Lattice parameters (Å, degrees): 6.530 6.530 5.098 90.00 90.00 90.00
Atoms (fractional coordinates):
1 La 0.177 0.323 0.000
2 La 0.323 0.823 0.000
3 La 0.677 0.177 0.000
4 La 0.823 0.677 0.000
5 V 0.138 0.638 0.500
6 V 0.362 0.138 0.500
7 V 0.638 0.862 0.500
8 V 0.862 0.362 0.500
9 Ir 0.000 0.000 0.500
10 Ir 0.500 0.500 0.500

Calculated values
For the density of states at the Fermi level, the calculation gives 6.1 states/eV/f.u. The magnetic moment comes out at 0.3024 μB per atom. As for the mass density: 8.7 g cm⁻³.

Which of them is least stable? Easy: A.

A | LaV3Ir: optimized geometry, GGA-PBE.

Lattice parameters (Å, degrees): 4.478 4.478 4.478 90.00 90.00 90.00
Atoms (fractional coordinates):
1 La 0.000 0.000 0.000
2 V 0.000 0.000 0.500
3 V 0.000 0.500 0.000
4 V 0.500 0.000 0.000
5 Ir 0.500 0.500 0.500

Calculated values
For the density of states at the Fermi level, the calculation gives 8.1 states/eV/f.u. The magnetic moment comes out at 0.0000 μB per atom. As for the mass density: 9.0 g cm⁻³.

B | LaV3Ir: optimized geometry, GGA-PBE.

Lattice parameters (Å, degrees): 4.771 4.771 4.771 90.00 90.00 90.00
Atoms (fractional coordinates):
1 La 0.000 0.000 0.000
2 V 0.000 0.500 0.500
3 V 0.500 0.000 0.500
4 V 0.500 0.500 0.000
5 Ir 0.500 0.500 0.500

Calculated values
For the density of states at the Fermi level, the calculation gives 5.7 states/eV/f.u. The magnetic moment comes out at 0.9652 μB per atom. As for the mass density: 7.4 g cm⁻³.

Which of them is least stable? Easy: A.

A | LaVIr3: optimized geometry, GGA-PBE.

Lattice parameters (Å, degrees): 4.646 4.646 4.646 90.00 90.00 90.00
Atoms (fractional coordinates):
1 La 0.000 0.000 0.000
2 V 0.500 0.500 0.500
3 Ir 0.000 0.500 0.500
4 Ir 0.500 0.000 0.500
5 Ir 0.500 0.500 0.000

Calculated values
For the density of states at the Fermi level, the calculation gives 3.9 states/eV/f.u. The magnetic moment comes out at 0.0000 μB per atom. As for the mass density: 12.7 g cm⁻³.

B | LaVIr3: optimized geometry, GGA-PBE.

Lattice parameters (Å, degrees): 4.909 4.909 4.909 90.00 90.00 90.00
Atoms (fractional coordinates):
1 La 0.000 0.000 0.000
2 V 0.500 0.500 0.500
3 Ir 0.000 0.000 0.500
4 Ir 0.000 0.500 0.000
5 Ir 0.500 0.000 0.000

Calculated values
For the density of states at the Fermi level, the calculation gives 9.6 states/eV/f.u. The magnetic moment comes out at 0.5836 μB per atom. As for the mass density: 10.8 g cm⁻³.

Which of them is least stable? Easy: B.

A | LaV2Ir2: optimized geometry, GGA-PBE.

Lattice parameters (Å, degrees): 6.072 6.072 6.072 139.27 139.27 58.97
Atoms (fractional coordinates):
1 La 0.000 0.000 0.000
2 V 0.373 0.373 0.000
3 V 0.627 0.627 0.000
4 Ir 0.250 0.750 0.500
5 Ir 0.750 0.250 0.500

Calculated values
For the density of states at the Fermi level, the calculation gives 6.1 states/eV/f.u. The magnetic moment comes out at 0.0000 μB per atom. As for the mass density: 11.0 g cm⁻³.

B | LaV2Ir2: optimized geometry, GGA-PBE.

Lattice parameters (Å, degrees): 7.652 7.652 2.846 90.00 90.00 90.00
Atoms (fractional coordinates):
1 La 0.000 0.000 0.000
2 La 0.500 0.500 0.000
3 V 0.157 0.343 0.000
4 V 0.343 0.843 0.000
5 V 0.657 0.157 0.000
6 V 0.843 0.657 0.000
7 Ir 0.134 0.634 0.500
8 Ir 0.366 0.134 0.500
9 Ir 0.634 0.866 0.500
10 Ir 0.866 0.366 0.500

Calculated values
For the density of states at the Fermi level, the calculation gives 5.1 states/eV/f.u. The magnetic moment comes out at 0.0002 μB per atom. As for the mass density: 12.5 g cm⁻³.

C | LaV2Ir2: optimized geometry, GGA-PBE.

Lattice parameters (Å, degrees): 6.020 6.020 6.020 138.33 138.33 60.40
Atoms (fractional coordinates):
1 La 0.000 0.000 0.000
2 V 0.250 0.750 0.500
3 V 0.750 0.250 0.500
4 Ir 0.369 0.369 0.000
5 Ir 0.631 0.631 0.000

Calculated values
For the density of states at the Fermi level, the calculation gives 2.9 states/eV/f.u. The magnetic moment comes out at 0.0000 μB per atom. As for the mass density: 10.9 g cm⁻³.

Which of them is least stable? Easy: A.

A | La2VIr: optimized geometry, GGA-PBE.

Lattice parameters (Å, degrees): 5.167 5.167 5.167 60.00 60.00 60.00
Atoms (fractional coordinates):
1 La 0.250 0.250 0.250
2 La 0.750 0.750 0.750
3 V 0.000 0.000 0.000
4 Ir 0.500 0.500 0.500

Calculated values
For the density of states at the Fermi level, the calculation gives 3.0 states/eV/f.u. The magnetic moment comes out at 0.8894 μB per atom. As for the mass density: 8.9 g cm⁻³.

B | La2VIr: optimized geometry, GGA-PBE.

Lattice parameters (Å, degrees): 6.519 6.519 6.519 103.79 103.79 121.56
Atoms (fractional coordinates):
1 La 0.093 0.625 0.968
2 La 0.375 0.343 0.468
3 La 0.657 0.125 0.032
4 La 0.875 0.907 0.532
5 V 0.250 0.750 0.500
6 V 0.500 0.500 0.000
7 Ir 0.000 0.000 0.000
8 Ir 0.750 0.250 0.500

Calculated values
For the density of states at the Fermi level, the calculation gives 4.5 states/eV/f.u. The magnetic moment comes out at 0.9189 μB per atom. As for the mass density: 8.4 g cm⁻³.

Which of them is least stable? Easy: B.

A | LaVIr2: optimized geometry, GGA-PBE.

Lattice parameters (Å, degrees): 5.980 5.980 5.980 104.35 104.35 120.29
Atoms (fractional coordinates):
1 La 0.000 0.000 0.000
2 La 0.750 0.250 0.500
3 V 0.250 0.750 0.500
4 V 0.500 0.500 0.000
5 Ir 0.185 0.625 0.060
6 Ir 0.375 0.435 0.560
7 Ir 0.565 0.125 0.940
8 Ir 0.875 0.815 0.440

Calculated values
For the density of states at the Fermi level, the calculation gives 4.0 states/eV/f.u. The magnetic moment comes out at 0.0825 μB per atom. As for the mass density: 11.9 g cm⁻³.

B | LaVIr2: optimized geometry, GGA-PBE.

Lattice parameters (Å, degrees): 4.737 4.737 4.737 60.00 60.00 60.00
Atoms (fractional coordinates):
1 La 0.000 0.000 0.000
2 V 0.500 0.500 0.500
3 Ir 0.250 0.250 0.250
4 Ir 0.750 0.750 0.750

Calculated values
For the density of states at the Fermi level, the calculation gives 5.1 states/eV/f.u. The magnetic moment comes out at 0.5376 μB per atom. As for the mass density: 12.7 g cm⁻³.

Which of them is least stable? Easy: B.

A | La2IrW: optimized geometry, GGA-PBE.

Lattice parameters (Å, degrees): 5.107 5.107 5.107 60.00 60.00 60.00
Atoms (fractional coordinates):
1 La 0.250 0.250 0.250
2 La 0.750 0.750 0.750
3 Ir 0.000 0.000 0.000
4 W 0.500 0.500 0.500

Calculated values
For the density of states at the Fermi level, the calculation gives 5.8 states/eV/f.u. The magnetic moment comes out at 0.1087 μB per atom. As for the mass density: 11.5 g cm⁻³.

B | La2IrW: optimized geometry, GGA-PBE.

Lattice parameters (Å, degrees): 3.588 4.629 5.281 90.00 90.00 90.00
Atoms (fractional coordinates):
1 La 0.000 0.000 0.000
2 La 0.500 0.000 0.500
3 Ir 0.000 0.500 0.500
4 W 0.500 0.500 0.000

Calculated values
For the density of states at the Fermi level, the calculation gives 3.6 states/eV/f.u. The magnetic moment comes out at 0.0000 μB per atom. As for the mass density: 12.4 g cm⁻³.

Which of them is least stable? Easy: B.

A | La2IrW: optimized geometry, GGA-PBE.

Lattice parameters (Å, degrees): 5.948 5.948 5.948 138.46 138.46 60.19
Atoms (fractional coordinates):
1 La 0.000 0.000 0.000
2 La 0.750 0.250 0.500
3 Ir 0.500 0.500 0.000
4 W 0.250 0.750 0.500

Calculated values
For the density of states at the Fermi level, the calculation gives 5.7 states/eV/f.u. The magnetic moment comes out at 0.0000 μB per atom. As for the mass density: 11.9 g cm⁻³.

B | La2IrW: optimized geometry, GGA-PBE.

Lattice parameters (Å, degrees): 5.713 5.713 3.153 102.23 102.23 113.69
Atoms (fractional coordinates):
1 La 0.000 0.500 0.000
2 La 0.500 0.000 0.000
3 Ir 0.000 0.000 0.500
4 W 0.500 0.500 0.500

Calculated values
For the density of states at the Fermi level, the calculation gives 3.4 states/eV/f.u. The magnetic moment comes out at 0.0000 μB per atom. As for the mass density: 12.5 g cm⁻³.

Which of them is least stable? Easy: B.

A | LaY2Ir: optimized geometry, GGA-PBE.

Lattice parameters (Å, degrees): 7.326 9.533 6.552 90.00 90.00 90.00
Atoms (fractional coordinates):
1 La 0.042 0.250 0.138
2 La 0.458 0.750 0.638
3 La 0.542 0.250 0.362
4 La 0.958 0.750 0.862
5 Y 0.172 0.066 0.669
6 Y 0.172 0.434 0.669
7 Y 0.328 0.566 0.169
8 Y 0.328 0.934 0.169
9 Y 0.672 0.066 0.831
10 Y 0.672 0.434 0.831
11 Y 0.828 0.566 0.331
12 Y 0.828 0.934 0.331
13 Ir 0.122 0.750 0.442
14 Ir 0.378 0.250 0.942
15 Ir 0.622 0.750 0.058
16 Ir 0.878 0.250 0.558

Calculated values
For the density of states at the Fermi level, the calculation gives 4.6 states/eV/f.u. The magnetic moment comes out at 0.0000 μB per atom. As for the mass density: 7.4 g cm⁻³.

B | LaY2Ir: optimized geometry, GGA-PBE.

Lattice parameters (Å, degrees): 6.227 6.227 6.227 139.13 139.13 59.18
Atoms (fractional coordinates):
1 La 0.000 0.000 0.000
2 Y 0.250 0.750 0.500
3 Y 0.750 0.250 0.500
4 Ir 0.500 0.500 0.000

Calculated values
For the density of states at the Fermi level, the calculation gives 5.1 states/eV/f.u. The magnetic moment comes out at 0.0473 μB per atom. As for the mass density: 8.3 g cm⁻³.

C | LaY2Ir: optimized geometry, GGA-PBE.

Lattice parameters (Å, degrees): 4.259 4.773 5.070 90.00 90.00 90.00
Atoms (fractional coordinates):
1 La 0.000 0.000 0.000
2 Y 0.000 0.500 0.500
3 Y 0.500 0.000 0.500
4 Ir 0.500 0.500 0.000

Calculated values
For the density of states at the Fermi level, the calculation gives 4.1 states/eV/f.u. The magnetic moment comes out at 0.0000 μB per atom. As for the mass density: 8.2 g cm⁻³.

Which of them is least stable? Easy: B.